The following is a DFT calculation (PBE) of a relaxed structure of CeCuP2Rh5.

Cell: 4.043 4.043 9.637 Å, 90.00 90.00 90.00°
Atoms (fractional coordinates):
Ce 0.000 0.000 0.000
Cu 0.000 0.000 0.500
P 0.500 0.500 0.236
P 0.500 0.500 0.764
Rh 0.000 0.500 0.342
Rh 0.000 0.500 0.658
Rh 0.500 0.000 0.342
Rh 0.500 0.000 0.658
Rh 0.500 0.500 0.000

Computed properties:
- Volume: 157.5 Å³ per cell
- Calculated formation energy: -0.49 eV/atom
- M_tot: 0.08 μB per atom


The following is a DFT calculation (PBE) of a relaxed structure of Ce3Cu2P4S2.

Cell: 12.890 12.890 12.890 Å, 161.87 161.87 25.74°
Atoms (fractional coordinates):
Ce 0.000 0.000 0.000
Ce 0.179 0.179 0.000
Ce 0.821 0.821 0.000
Cu 0.453 0.453 0.000
Cu 0.547 0.547 0.000
P 0.092 0.592 0.500
P 0.408 0.908 0.500
P 0.592 0.092 0.500
P 0.908 0.408 0.500
S 0.293 0.293 0.000
S 0.707 0.707 0.000

Computed properties:
- Volume: 207.3 Å³ per cell
- Formation energy from raw total energies: -11.46 eV per formula unit
- M_tot: 0.08 μB per atom


no.,DOS at the Fermi energy (states/eV/cell)
1,10.4
2,11.1